Record 1
Computed, not measured: a relaxed LiVPO5 crystal at the PBEsol level of DFT.

Summary:
Energy relative to the lowest polymorph listed for this composition = 51.5 meV per atom
Crystal system = monoclinic
N(E_F) = 0.82 states/eV/f.u.

Cell: 14.5972 5.7859 5.0984 Å, 90.00 101.62 90.00°
With the nearest neighbours (Å) after each atom.
Space group C2/m (No. 12)
One atom of each set of equivalent atoms:
Li 0.1331 0.0000 0.0576 (multiplicity 4)  4 O 1.84-2.01
V 0.0000 0.2206 0.5000 (multiplicity 4)  4 O 1.81-1.95
P 0.1401 0.5000 0.7279 (multiplicity 4)  4 O 1.47-1.60
O 0.0530 0.0000 0.3277 (multiplicity 4)  2 V 1.81, 1 Li 1.98
O 0.0815 0.5000 0.4259 (multiplicity 4)  1 P 1.60
O 0.0941 0.2774 0.8246 (multiplicity 8)  1 P 1.58
O 0.2431 0.5000 0.7748 (multiplicity 4)  1 P 1.47

=====

Record 2
Computed, not measured: a relaxed Li2V3P9O28 crystal at the PBEsol level of DFT.

Summary:
Crystal system = triclinic
N(E_F) = 21.73 states/eV/f.u.

Cell: 7.0246 8.9579 9.1244 Å, 111.28 109.63 98.50°
With the nearest neighbours (Å) after each atom.
Space group P-1 (No. 2)
One atom of each set of equivalent atoms:
Li 0.1992 0.4131 0.2390 (multiplicity 2)  3 O 2.03-2.08
V 0.0000 0.0000 0.0000 (multiplicity 1)  6 O 1.93-2.00
V 0.2646 0.5199 0.7589 (multiplicity 2)  5 O 1.89-2.02
P 0.1807 0.1980 0.4221 (multiplicity 2)  4 O 1.51-1.61
P 0.1839 0.7388 0.5318 (multiplicity 2)  4 O 1.51-1.60
P 0.2896 0.2600 0.9413 (multiplicity 2)  4 O 1.51-1.61
P 0.3617 0.8362 0.1093 (multiplicity 2)  4 O 1.51-1.60
P 0.5000 0.0000 0.5000 (multiplicity 1)  6 O 1.70-1.71
O 0.0305 0.8534 0.5514 (multiplicity 2)  2 P 1.60-1.61
O 0.0720 0.5851 0.3550 (multiplicity 2)  1 P 1.53
O 0.0763 0.1638 0.9160 (multiplicity 2)  1 P 1.51
O 0.1166 0.1873 0.2405 (multiplicity 2)  1 P 1.52
O 0.2348 0.6559 0.9760 (multiplicity 2)  1 P 1.52
O 0.2444 0.6973 0.6837 (multiplicity 2)  1 P 1.51
O 0.2733 0.3391 0.8192 (multiplicity 2)  1 P 1.51
O 0.2763 0.0600 0.4505 (multiplicity 2)  2 P 1.55-1.71
O 0.2787 0.9717 0.0758 (multiplicity 2)  1 P 1.51
O 0.3090 0.3787 0.5512 (multiplicity 2)  1 P 1.51
O 0.3860 0.8587 0.5533 (multiplicity 2)  2 P 1.55-1.70
O 0.3976 0.8467 0.2930 (multiplicity 2)  2 P 1.57-1.70
O 0.4078 0.1222 0.8880 (multiplicity 2)  2 P 1.60-1.61
O 0.4196 0.3857 0.1337 (multiplicity 2)  1 P 1.54

=====

Record 3
Computed, not measured: a relaxed Li4VP2O8 crystal at the PBEsol level of DFT.

Summary:
Energy relative to the lowest polymorph listed for this composition = 9.1 meV per atom
Crystal system = monoclinic

Cell: 8.1206 10.0959 8.3464 Å, 90.00 107.51 90.00°
With the nearest neighbours (Å) after each atom.
Space group P2_1/c (No. 14)
One atom of each set of equivalent atoms:
Li 0.0130 0.0751 0.2558 (multiplicity 4)  4 O 1.98-2.03
Li 0.1011 0.1608 0.6060 (multiplicity 4)  3 O 1.92-1.95
Li 0.1567 0.6621 0.6626 (multiplicity 4)  4 O 1.90-1.99
Li 0.3416 0.1636 0.3565 (multiplicity 4)  4 O 1.90-2.03
V 0.3815 0.6428 0.3663 (multiplicity 4)  5 O 2.02-2.21
P 0.2123 0.0907 0.9823 (multiplicity 4)  4 O 1.55-1.56
P 0.2790 0.5825 0.0382 (multiplicity 4)  4 O 1.53-1.58
O 0.0636 0.1080 0.8153 (multiplicity 4)  1 P 1.56
O 0.1582 0.6425 0.1364 (multiplicity 4)  1 P 1.58
O 0.1594 0.1544 0.1288 (multiplicity 4)  1 P 1.55
O 0.2107 0.0551 0.4713 (multiplicity 4)  1 P 1.54
O 0.2438 0.5601 0.5153 (multiplicity 4)  1 P 1.55
O 0.2840 0.6745 0.8938 (multiplicity 4)  1 P 1.53
O 0.3754 0.1593 0.9609 (multiplicity 4)  1 P 1.55
O 0.4605 0.5781 0.1721 (multiplicity 4)  1 P 1.56

=====

Record 4
Computed, not measured: a relaxed LiVP2O7 crystal at the PBEsol level of DFT.

Summary:
Crystal system = monoclinic
N(E_F) = 3.08 states/eV/f.u.

Cell: 5.7328 8.2315 6.1337 Å, 90.00 105.77 90.00°
With the nearest neighbours (Å) after each atom.
Space group P2_1 (No. 4)
One atom of each set of equivalent atoms:
Li 0.2237 0.0000 0.4455 (multiplicity 2)  3 O 1.87-2.04
V 0.3779 0.6210 0.2651 (multiplicity 2)  6 O 1.93-2.14
P 0.0791 0.1930 0.8010 (multiplicity 2)  4 O 1.52-1.60
P 0.4982 0.2302 0.2009 (multiplicity 2)  4 O 1.52-1.61
O 0.0555 0.5286 0.2174 (multiplicity 2)  1 P 1.55
O 0.1296 0.8158 0.2653 (multiplicity 2)  1 P 1.53
O 0.2165 0.2181 0.0640 (multiplicity 2)  2 P 1.60-1.61
O 0.2647 0.2030 0.6659 (multiplicity 2)  1 P 1.52
O 0.3508 0.6731 0.9530 (multiplicity 2)  1 P 1.52
O 0.4534 0.9055 0.7223 (multiplicity 2)  1 P 1.52
O 0.4756 0.6134 0.5995 (multiplicity 2)  1 P 1.53

=====

Record 5
Computed, not measured: a relaxed Li3VP3O11 crystal at the PBEsol level of DFT.

Summary:
Crystal system = triclinic
N(E_F) = 4.55 states/eV/f.u.

Cell: 5.9569 8.2095 9.5654 Å, 100.58 105.09 105.82°
With the nearest neighbours (Å) after each atom.
Space group P-1 (No. 2)
One atom of each set of equivalent atoms:
Li 0.0685 0.3867 0.0834 (multiplicity 2)  3 O 1.91-2.13
Li 0.2361 0.1430 0.5437 (multiplicity 2)  3 O 1.94-2.07
Li 0.2462 0.0890 0.0972 (multiplicity 2)  3 O 2.01-2.10
V 0.3419 0.5538 0.7277 (multiplicity 2)  5 O 1.85-1.91
P 0.2082 0.9213 0.7710 (multiplicity 2)  4 O 1.50-1.63
P 0.2535 0.5485 0.3861 (multiplicity 2)  4 O 1.49-1.58
P 0.4947 0.7034 0.0929 (multiplicity 2)  4 O 1.49-1.61
O 0.0078 0.4909 0.7269 (multiplicity 2)  1 P 1.56
O 0.0644 0.9467 0.6279 (multiplicity 2)  1 P 1.50
O 0.0825 0.9029 0.8904 (multiplicity 2)  1 P 1.53
O 0.2152 0.4711 0.5199 (multiplicity 2)  1 P 1.57
O 0.2250 0.6145 0.0584 (multiplicity 2)  1 P 1.49
O 0.3322 0.3364 0.7755 (multiplicity 2)  1 P 1.55
O 0.3417 0.7846 0.7457 (multiplicity 2)  1 P 1.56
O 0.3431 0.4162 0.2905 (multiplicity 2)  1 P 1.58
O 0.4156 0.3193 0.0447 (multiplicity 2)  1 P 1.54
O 0.4219 0.7349 0.4344 (multiplicity 2)  1 P 1.49
O 0.4614 0.0903 0.8493 (multiplicity 2)  2 P 1.61-1.63

=====

Record 6
Computed, not measured: a relaxed Li2VP2O8 crystal at the PBEsol level of DFT.

Summary:
Energy relative to the lowest polymorph listed for this composition = 19.8 meV per atom
Crystal system = monoclinic
N(E_F) = 3.07 states/eV/f.u.

Cell: 7.9196 5.2730 6.3503 Å, 90.00 92.47 90.00°
With the nearest neighbours (Å) after each atom.
Space group Cm (No. 8)
One atom of each set of equivalent atoms:
Li 0.0000 0.0000 0.0000 (multiplicity 2)  2 O 1.90-2.08
Li 0.1778 0.5000 0.2411 (multiplicity 2)  2 O 1.91-1.99
V 0.1760 0.5000 0.7114 (multiplicity 2)  6 O 1.84-2.01
P 0.0294 0.0000 0.4875 (multiplicity 2)  4 O 1.50-1.57
P 0.3371 0.0000 0.9536 (multiplicity 2)  4 O 1.49-1.57
O 0.1459 0.2401 0.5059 (multiplicity 4)  1 P 1.57
O 0.2163 0.2367 0.9360 (multiplicity 4)  1 P 1.57
O 0.4164 0.5000 0.6842 (multiplicity 2)  1 P 1.57
O 0.4290 0.5000 0.2820 (multiplicity 2)  1 P 1.50
O 0.4442 0.0000 0.1517 (multiplicity 2)  1 P 1.49
O 0.4480 0.0000 0.7559 (multiplicity 2)  1 P 1.56

=====

Record 7
Computed, not measured: a relaxed Li3V3P4O16 crystal at the PBEsol level of DFT.

Summary:
Energy relative to the lowest polymorph listed for this composition = 29.3 meV per atom
Crystal system = triclinic
N(E_F) = 13.73 states/eV/f.u.

Cell: 8.4052 8.8611 9.0270 Å, 104.41 115.40 101.58°
With the nearest neighbours (Å) after each atom.
Space group P-1 (No. 2)
One atom of each set of equivalent atoms:
Li 0.1191 0.3068 0.1534 (multiplicity 2)  3 O 1.88-1.97
Li 0.2960 0.5405 0.9968 (multiplicity 2)  3 O 1.93-2.08
Li 0.3105 0.1728 0.0304 (multiplicity 2)  3 O 1.96-2.10
V 0.1373 0.1869 0.6114 (multiplicity 2)  6 O 1.96-2.17
V 0.2073 0.7417 0.7766 (multiplicity 2)  6 O 1.88-2.06
V 0.4954 0.1931 0.4988 (multiplicity 2)  6 O 1.95-2.15
P 0.0531 0.0155 0.2241 (multiplicity 2)  4 O 1.49-1.60
P 0.0661 0.6291 0.3342 (multiplicity 2)  4 O 1.53-1.58
P 0.4460 0.5279 0.6893 (multiplicity 2)  4 O 1.52-1.59
P 0.4830 0.0730 0.8068 (multiplicity 2)  4 O 1.54-1.57
O 0.0234 0.4403 0.2768 (multiplicity 2)  1 P 1.54
O 0.0425 0.1416 0.9355 (multiplicity 2)  1 P 1.49
O 0.0642 0.9913 0.3975 (multiplicity 2)  1 P 1.60
O 0.0690 0.8741 0.8134 (multiplicity 2)  1 P 1.55
O 0.0772 0.7135 0.5167 (multiplicity 2)  1 P 1.58
O 0.1111 0.3434 0.7915 (multiplicity 2)  1 P 1.55
O 0.2367 0.7157 0.3251 (multiplicity 2)  1 P 1.53
O 0.2550 0.1139 0.2773 (multiplicity 2)  1 P 1.54
O 0.3240 0.1410 0.7998 (multiplicity 2)  1 P 1.56
O 0.3294 0.7898 0.0442 (multiplicity 2)  1 P 1.54
O 0.3311 0.5807 0.7763 (multiplicity 2)  1 P 1.56
O 0.3514 0.4207 0.1611 (multiplicity 2)  1 P 1.53
O 0.3599 0.3304 0.6010 (multiplicity 2)  1 P 1.59
O 0.4275 0.6106 0.5569 (multiplicity 2)  1 P 1.52
O 0.4510 0.9069 0.8348 (multiplicity 2)  1 P 1.54
O 0.4698 0.0308 0.6217 (multiplicity 2)  1 P 1.57

=====

Record 8
Computed, not measured: a relaxed LiVPO5 crystal at the PBEsol level of DFT.

Summary:
Energy relative to the lowest polymorph listed for this composition = 0.0 meV per atom
Crystal system = monoclinic
N(E_F) = 2.84 states/eV/f.u.

Cell: 13.5170 5.2068 10.4134 Å, 90.00 114.76 90.00°
With the nearest neighbours (Å) after each atom.
Space group C2/c (No. 15)
One atom of each set of equivalent atoms:
Li 0.0000 0.0000 0.0000 (multiplicity 4)  4 O 2.00-2.01
Li 0.2500 0.2500 0.0000 (multiplicity 4)  4 O 1.96-2.09
V 0.0000 0.0158 0.2500 (multiplicity 4)  6 O 1.82-1.98
V 0.2500 0.2500 0.5000 (multiplicity 4)  6 O 1.84-1.97
P 0.1244 0.4888 0.6882 (multiplicity 8)  4 O 1.53-1.55
O 0.0533 0.2692 0.1518 (multiplicity 8)  1 P 1.53
O 0.0543 0.2428 0.6633 (multiplicity 8)  1 P 1.55
O 0.1266 0.0561 0.4081 (multiplicity 8)  2 V 1.82-1.84
O 0.1816 0.4800 0.5882 (multiplicity 8)  1 P 1.54
O 0.2068 0.4984 0.8452 (multiplicity 8)  1 P 1.55

=====

Record 9
Computed, not measured: a relaxed Li5VP4O14 crystal at the PBEsol level of DFT.

Summary:
Crystal system = triclinic

Cell: 6.9055 8.7013 8.8981 Å, 77.40 76.65 70.75°
With the nearest neighbours (Å) after each atom.
Space group P-1 (No. 2)
One atom of each set of equivalent atoms:
Li 0.0318 0.0335 0.1263 (multiplicity 2)  4 O 1.89-2.01
Li 0.2342 0.2495 0.8680 (multiplicity 2)  4 O 1.98-2.21
Li 0.2366 0.7349 0.6107 (multiplicity 2)  4 O 1.91-2.08
Li 0.2933 0.6696 0.2780 (multiplicity 2)  5 O 2.00-2.14
Li 0.3527 0.9365 0.3205 (multiplicity 2)  5 O 2.03-2.27
V 0.1243 0.3740 0.2371 (multiplicity 2)  5 O 1.94-2.16
P 0.1233 0.1143 0.5694 (multiplicity 2)  4 O 1.50-1.62
P 0.1801 0.6148 0.9819 (multiplicity 2)  4 O 1.52-1.58
P 0.3115 0.3843 0.5509 (multiplicity 2)  4 O 1.51-1.63
P 0.4272 0.8378 0.9494 (multiplicity 2)  4 O 1.53-1.66
O 0.0436 0.7266 0.8626 (multiplicity 2)  1 P 1.54
O 0.0633 0.2098 0.4113 (multiplicity 2)  1 P 1.54
O 0.0760 0.8851 0.3131 (multiplicity 2)  1 P 1.52
O 0.0887 0.6394 0.1525 (multiplicity 2)  1 P 1.54
O 0.1802 0.5070 0.6623 (multiplicity 2)  1 P 1.53
O 0.2229 0.4306 0.9886 (multiplicity 2)  1 P 1.52
O 0.2258 0.9767 0.9262 (multiplicity 2)  1 P 1.53
O 0.2407 0.2191 0.6271 (multiplicity 2)  2 P 1.62-1.63
O 0.2697 0.4362 0.3824 (multiplicity 2)  1 P 1.53
O 0.2777 0.9480 0.5536 (multiplicity 2)  1 P 1.50
O 0.3846 0.1592 0.1818 (multiplicity 2)  1 P 1.54
O 0.3896 0.6646 0.9316 (multiplicity 2)  2 P 1.58-1.66
O 0.4608 0.6690 0.4341 (multiplicity 2)  1 P 1.51
O 0.4669 0.8171 0.1154 (multiplicity 2)  1 P 1.53

=====

Record 10
Computed, not measured: a relaxed LiVPO4 crystal at the PBEsol level of DFT.

Summary:
Energy relative to the lowest polymorph listed for this composition = 8.4 meV per atom
Crystal system = orthorhombic
N(E_F) = 0.04 states/eV/f.u.

Cell: 5.4410 8.3137 6.1644 Å, 90.00 90.00 90.00°
With the nearest neighbours (Å) after each atom.
Space group Cmcm (No. 63)
One atom of each set of equivalent atoms:
Li 0.0000 0.1685 0.2500 (multiplicity 4)  4 O 1.94-2.07
V 0.0000 0.5000 0.0000 (multiplicity 4)  6 O 2.09-2.15
P 0.0000 0.1480 0.7500 (multiplicity 4)  4 O 1.53-1.58
O 0.0000 0.2504 0.5444 (multiplicity 8)  1 P 1.53
O 0.2286 0.0311 0.7500 (multiplicity 8)  1 P 1.58

=====

Computed VASP energy, in the same sequence as the records: -7.74; -7.71; -6.98; -7.68; -7.31; -7.45; -7.70; -7.79; -7.12; -7.63 eV/atom.
Computed uncorrected formation energy, in the same sequence as the records: -2281; -2185; -2245; -2228; -2272; -2283; -2244; -2333; -2285; -2142 meV/atom.